No. 1
A crystal of FeRe2 relaxed with PBEsol, computed with meta-GGA SCAN.

Cell lengths 4.1481, 4.1481, 5.2709 Å; angles 90.00, 90.00, 120.00 degrees
Atoms (fractional coordinates):
Re 0.0000 0.0000 0.0000
Re 0.0000 0.0000 0.5000
Re 0.3333 0.6667 0.7500
Re 0.6667 0.3333 0.2500
Fe 0.3333 0.6667 0.2500
Fe 0.6667 0.3333 0.7500

Output
The calculated total energy is -159.9 eV/f.u.


No. 2
A crystal of Fe4Re3 relaxed with PBEsol, computed with meta-GGA SCAN.

Cell lengths 2.8748, 2.8748, 10.7178 Å; angles 97.71, 97.71, 90.00 degrees
Site moments in Bohr magnetons follow the coordinates.
Atoms (fractional coordinates):
Re 0.0000 0.0000 0.0000  -0.25
Re 0.7079 0.7079 0.4158  -0.04
Re 0.2921 0.2921 0.5842  -0.04
Fe 0.8659 0.8659 0.7318  2.50
Fe 0.5727 0.5727 0.1455  2.38
Fe 0.4273 0.4273 0.8545  2.38
Fe 0.1341 0.1341 0.2682  2.50

Output
The calculated total energy is -285.7 eV/f.u.


No. 3
A crystal of Fe5Re3 relaxed with PBEsol, computed with meta-GGA SCAN.

Cell lengths 3.6263, 5.0934, 5.0934 Å; angles 91.22, 90.00, 90.00 degrees
Site moments in Bohr magnetons follow the coordinates.
Atoms (fractional coordinates):
Fe 0.0000 0.0000 0.0000  1.95
Fe 0.0000 0.5000 0.0000  -2.43
Fe 0.0000 0.0000 0.5000  -2.43
Fe 0.5000 0.7552 0.7552  1.97
Fe 0.5000 0.2448 0.2448  1.97
Re 0.0000 0.5000 0.5000  0.03
Re 0.5000 0.7636 0.2364  -0.05
Re 0.5000 0.2364 0.7636  -0.05

Output
The calculated total energy is -303.3 eV/f.u.


No. 4
A crystal of FeRe relaxed with PBEsol, computed with meta-GGA SCAN.

Cell lengths 2.6329, 4.4716, 4.8765 Å; angles 115.61, 105.66, 90.00 degrees
Atoms (fractional coordinates):
Re 0.6183 0.7910 0.2367
Re 0.3817 0.2090 0.7633
Fe 0.1296 0.3027 0.2592
Fe 0.8704 0.6973 0.7408

Output
The calculated total energy is -88.7 eV/f.u.


No. 5
A crystal of FeRe relaxed with PBEsol, computed with meta-GGA SCAN.

Cell lengths 4.1951, 4.1951, 4.1951 Å; angles 60.00, 60.00, 60.00 degrees
Site moments in Bohr magnetons follow the coordinates.
Atoms (fractional coordinates):
Fe 0.5000 0.5000 0.5000  2.70
Fe 0.7500 0.7500 0.7500  2.70
Re 0.2500 0.2500 0.2500  0.01
Re 0.0000 0.0000 0.0000  0.01

Output
The calculated total energy is -89.2 eV/f.u.


No. 6
A crystal of Fe3Re5 relaxed with PBEsol, computed with meta-GGA SCAN.

Cell lengths 3.7326, 5.2725, 5.2725 Å; angles 90.92, 90.00, 90.00 degrees
Site moments in Bohr magnetons follow the coordinates.
Atoms (fractional coordinates):
Fe 0.0000 0.5000 0.5000  2.25
Fe 0.5000 0.7449 0.2551  -2.22
Fe 0.5000 0.2551 0.7449  -2.22
Re 0.0000 0.0000 0.0000  0.34
Re 0.0000 0.5000 0.0000  0.02
Re 0.0000 0.0000 0.5000  0.02
Re 0.5000 0.7353 0.7353  0.12
Re 0.5000 0.2647 0.2647  0.12

Output
The calculated total energy is -409.3 eV/f.u.


No. 7
A crystal of FeRe2 relaxed with PBEsol, computed with meta-GGA SCAN.

Cell lengths 2.6886, 4.2793, 7.0032 Å; angles 90.00, 101.07, 90.00 degrees
Atoms (fractional coordinates):
Re 0.0542 0.2500 0.1083
Re 0.2746 0.7500 0.5492
Re 0.7254 0.2500 0.4508
Re 0.9458 0.7500 0.8917
Fe 0.3910 0.2500 0.7820
Fe 0.6090 0.7500 0.2180

Output
The calculated total energy is -159.9 eV/f.u.


No. 8
A crystal of FeRe2 relaxed with PBEsol, computed with meta-GGA SCAN.

Cell lengths 4.6351, 4.7270, 4.7270 Å; angles 76.09, 60.64, 60.64 degrees
Atoms (fractional coordinates):
Re 0.6523 0.5000 0.1954
Re 0.1523 0.1954 0.5000
Re 0.8477 0.8046 0.5000
Re 0.3477 0.5000 0.8046
Fe 0.7500 0.0000 0.0000
Fe 0.2500 0.0000 0.0000

Output
The calculated total energy is -160.2 eV/f.u.


No. 9
A crystal of FeRe relaxed with PBEsol, computed with meta-GGA SCAN.

Cell lengths 4.1649, 4.5496, 5.1820 Å; angles 90.00, 90.00, 90.00 degrees
Atoms (fractional coordinates):
Fe 0.7500 0.9197 0.8767
Fe 0.2500 0.5803 0.3767
Fe 0.7500 0.4197 0.6233
Fe 0.2500 0.0803 0.1233
Re 0.7500 0.9032 0.3769
Re 0.2500 0.5968 0.8769
Re 0.7500 0.4032 0.1231
Re 0.2500 0.0968 0.6231

Output
The calculated total energy is -88.9 eV/f.u.


No. 10
A crystal of FeRe2 relaxed with PBEsol, computed with meta-GGA SCAN.

Cell lengths 2.6898, 5.0382, 6.2516 Å; angles 103.37, 90.00, 105.48 degrees
Atoms (fractional coordinates):
Re 0.3919 0.7837 0.2700
Re 0.0600 0.1201 0.6045
Re 0.3341 0.6682 0.6662
Re 0.7129 0.4258 0.9552
Fe 0.0019 0.0038 0.0034
Fe 0.6658 0.3317 0.3341

Output
The calculated total energy is -159.8 eV/f.u.


No. 11
A crystal of FeRe relaxed with PBEsol, computed with meta-GGA SCAN.

Cell lengths 2.6266, 4.9162, 6.1546 Å; angles 104.08, 90.00, 105.49 degrees
Site moments in Bohr magnetons follow the coordinates.
Atoms (fractional coordinates):
Re 0.6712 0.3425 0.3311  -0.19
Re 0.0405 0.0811 0.6129  -0.02
Re 0.7298 0.4596 0.9468  -0.10
Fe 0.9978 0.9956 0.0038  1.97
Fe 0.3942 0.7883 0.2710  1.83
Fe 0.3331 0.6663 0.6677  -1.59

Output
The calculated total energy is -88.9 eV/f.u.


No. 12
A crystal of FeRe relaxed with PBEsol, computed with meta-GGA SCAN.

Cell lengths 2.6190, 3.9642, 4.9153 Å; angles 90.00, 105.45, 90.00 degrees
Site moments in Bohr magnetons follow the coordinates.
Atoms (fractional coordinates):
Re 0.8320 0.7500 0.6640  -0.31
Re 0.1680 0.2500 0.3360  -0.31
Fe 0.5623 0.7500 0.1247  1.56
Fe 0.4377 0.2500 0.8753  1.56

Output
The calculated total energy is -88.9 eV/f.u.